A plane-wave DFT calculation with PBE+U was carried out for Rb2FeCo3F12 after structural relaxation.

Geometry as CIF:
```
data_Rb2FeCo3F12
_chemical_formula_sum 'Rb2 Fe1 Co3 F12'
_cell_length_a 7.415
_cell_length_b 7.415
_cell_length_c 7.415
_cell_angle_alpha 59.24
_cell_angle_beta 59.24
_cell_angle_gamma 59.24
_symmetry_space_group_name_H-M 'P 1'
_symmetry_Int_Tables_number 1
loop_
_symmetry_equiv_pos_as_xyz
'x,y,z'
loop_
_atom_site_label
_atom_site_type_symbol
_atom_site_fract_x
_atom_site_fract_y
_atom_site_fract_z
Rb1 Rb 0.122 0.122 0.122
Rb2 Rb 0.878 0.878 0.878
Fe1 Fe 0.500 0.500 0.500
Co1 Co 0.000 0.500 0.500
Co2 Co 0.500 0.000 0.500
Co3 Co 0.500 0.500 0.000
F1 F 0.176 0.176 0.569
F2 F 0.176 0.569 0.176
F3 F 0.184 0.570 0.570
F4 F 0.430 0.430 0.816
F5 F 0.430 0.816 0.430
F6 F 0.431 0.824 0.824
F7 F 0.569 0.176 0.176
F8 F 0.570 0.184 0.570
F9 F 0.570 0.570 0.184
F10 F 0.816 0.430 0.430
F11 F 0.824 0.431 0.824
F12 F 0.824 0.824 0.431
```

Calculated values
Its crystal system is trigonal. Its total magnetization is 0.833 μB per atom. As for the uncorrected energy: -0.179 Ha/atom.